The following is a DFT calculation (PBE) of a relaxed structure of TiVCrRu.

```
data_TiVCrRu
_cell_length_a 2.9956
_cell_length_b 2.9956
_cell_length_c 6.0606
_cell_angle_alpha 90.00
_cell_angle_beta 90.00
_cell_angle_gamma 90.00
_symmetry_space_group_name_H-M 'P 4 m m'
_symmetry_Int_Tables_number 99
_symmetry_space_group_name_Hall 'P 4 -2'
loop_
_atom_site_label
_atom_site_type_symbol
_atom_site_fract_x
_atom_site_fract_y
_atom_site_fract_z
_atom_site_occupancy
Ti1 Ti 0.0000 0.0000 0.0000 1
V1 V 0.0000 0.0000 0.5165 1
Cr1 Cr 0.5000 0.5000 0.7472 1
Ru1 Ru 0.5000 0.5000 0.2640 1
```

Properties
Formation energy from the elements, meV per atom: -331
Electronic total energy, eV/cell: -37.24
N(E_F), states/eV per atom: 0.77
Spin magnetization, μB per cell: 0.259